First-principles (PBE) data for crystalline CaAlO2 at its relaxed geometry, as listed in Alexandria.

Cell lengths 5.0180, 5.0180, 9.0408 Å; angles 90.00, 90.00, 90.00 degrees
Last column: nearest neighbours and their distance in Å.
Sites, in units of the cell vectors:
1 Ca 0.0000 0.0000 0.0000  4 O 2.43
2 Ca 0.0000 0.5000 0.2500  4 O 2.43
3 Ca 0.5000 0.0000 0.7500  4 O 2.43
4 Ca 0.5000 0.5000 0.5000  4 O 2.43
5 Al 0.0000 0.0000 0.5000  4 O 1.85
6 Al 0.0000 0.5000 0.7500  4 O 1.85
7 Al 0.5000 0.0000 0.2500  4 O 1.85
8 Al 0.5000 0.5000 0.0000  4 O 1.85
9 O 0.1530 0.2500 0.6250  2 Al 1.85
10 O 0.2500 0.6530 0.8750  2 Al 1.85
11 O 0.2500 0.8470 0.3750  2 Al 1.85
12 O 0.3470 0.2500 0.1250  2 Al 1.85
13 O 0.6530 0.7500 0.1250  2 Al 1.85
14 O 0.7500 0.1530 0.3750  2 Al 1.85
15 O 0.7500 0.3470 0.8750  2 Al 1.85
16 O 0.8470 0.7500 0.6250  2 Al 1.85

First-principles (PBE) data for crystalline Ca2Al2O5 at its relaxed geometry, as listed in Alexandria.

Its energy above the most stable polymorph in this dataset is 24 meV per atom.

Cell lengths 8.2250, 8.1766, 5.3949 Å; angles 71.28, 70.31, 38.41 degrees
Last column: nearest neighbours and their distance in Å.
Sites, in units of the cell vectors:
1 Ca 0.0818 0.6315 0.3685  6 O 2.25-2.45
2 Ca 0.3685 0.9182 0.0818  6 O 2.25-2.45
3 Ca 0.6315 0.0818 0.9182  6 O 2.25-2.45
4 Ca 0.9182 0.3685 0.6315  6 O 2.25-2.45
5 Al 0.0000 0.5000 0.0000  6 O 1.89-2.08
6 Al 0.3236 0.6764 0.6764  4 O 1.76-1.83
7 Al 0.5000 0.0000 0.5000  6 O 1.89-2.08
8 Al 0.6764 0.3236 0.3236  4 O 1.76-1.83
9 O 0.1088 0.6755 0.8912  1 Al 1.76
10 O 0.2500 0.2500 0.2500  2 Al 1.93
11 O 0.2624 0.2624 0.7376  2 Al 1.89
12 O 0.3245 0.8912 0.6755  1 Al 1.76
13 O 0.3365 0.6635 0.3365  2 Al 1.83
14 O 0.6635 0.3365 0.6635  2 Al 1.83
15 O 0.6755 0.1088 0.3245  1 Al 1.76
16 O 0.7376 0.7376 0.2624  2 Al 1.89
17 O 0.7500 0.7500 0.7500  2 Al 1.93
18 O 0.8912 0.3245 0.1088  1 Al 1.76

| no. | E_form (uncorrected) (eV/atom) | V (Å³ per cell) |
| --- | --- | --- |
| 1 | -2.3484 | 228 |
| 2 | -3.0008 | 211 |